HfMn2S after structural relaxation. Source: Alexandria via LeMat-Bulk, functional PBE.

Summary:
DOS(E_F)   7.377 states/eV per cell
Total DFT energy (no corrections)   -8.213 eV per atom

Cell lengths 7.0888, 7.0888, 5.6134 Å; angles 50.85, 50.85, 90.00 degrees
Closest atoms and distances in Å follow each position.
Atoms (fractional coordinates):
S: 0.5000 0.5000 0.0000  4 Mn 2.24
S: 0.2500 0.7500 0.5000  4 Mn 2.24
Mn: 0.5470 0.1250 0.2500  2 S 2.24
Mn: 0.2030 0.6250 0.2500  2 S 2.24
Mn: 0.3750 0.4530 0.7500  2 S 2.24
Mn: 0.8750 0.7970 0.7500  2 S 2.24
Hf: 0.0000 0.0000 0.0000  2 S 2.53
Hf: 0.7500 0.2500 0.5000  2 S 2.53



LiGa2Sn after structural relaxation. Source: Alexandria via LeMat-Bulk, functional PBE.

Summary:
DOS(E_F)   1.489 states/eV per cell
Total DFT energy (no corrections)   -3.077 eV per atom

Cell lengths 4.5452, 4.5452, 5.2478 Å; angles 64.34, 64.34, 60.00 degrees
Closest atoms and distances in Å follow each position.
Atoms (fractional coordinates):
Li: 0.7265 0.7265 0.8205  3 Ga 2.71, 3 Sn 2.99
Ga: 0.0107 0.0107 0.9678  3 Li 2.71, 3 Ga 2.84
Ga: 0.2650 0.2650 0.2051  3 Ga 2.84, 4 Sn 2.96-3.17, 3 Li 3.15
Sn: 0.4978 0.4978 0.5066  4 Ga 2.96-3.17, 4 Li 2.99-3.12



Al2InBr after structural relaxation. Source: Alexandria via LeMat-Bulk, functional PBE.

Summary:
DOS(E_F)   1.673 states/eV per cell
Total DFT energy (no corrections)   -2.908 eV per atom
Polymorph energy (0 for the lowest one)   4.1 kJ per mole of atoms

Cell lengths 6.6725, 6.6725, 5.0416 Å; angles 66.37, 66.37, 28.36 degrees
Closest atoms and distances in Å follow each position.
Atoms (fractional coordinates):
Al: 0.0115 0.0115 0.9018  2 Br 2.64, 2 Al 2.81
Al: 0.6955 0.6955 0.8534  2 Al 2.81
Br: 0.4999 0.4999 0.5038  2 Al 2.64
In: 0.2932 0.2932 0.2411  6 Al 3.10-3.25, 2 In 3.27, 1 Br 3.44



AgSbRu2 after structural relaxation. Source: Alexandria via LeMat-Bulk, functional PBE.

Summary:
DOS(E_F)   4.305 states/eV per cell
Total DFT energy (no corrections)   -5.752 eV per atom

Cell lengths 2.9905, 2.9905, 8.6703 Å; angles 90.00, 90.00, 115.41 degrees
Closest atoms and distances in Å follow each position.
Atoms (fractional coordinates):
Ag: 0.5000 0.5000 0.7500  4 Ru 2.83, 4 Ag 2.99
Ru: 0.0000 0.0000 0.0188  2 Sb 2.56, 2 Ag 2.83
Ru: 0.0000 0.0000 0.4812  2 Sb 2.56, 2 Ag 2.83
Sb: 0.5000 0.5000 0.2500  4 Ru 2.56



Tb2Pr5Sc2 after structural relaxation. Source: Alexandria via LeMat-Bulk, functional PBE.

Summary:
DOS(E_F)   27.462 states/eV per cell
Total DFT energy (no corrections)   -4.985 eV per atom
Polymorph energy (0 for the lowest one)   0.0 kJ per mole of atoms

Cell lengths 10.0590, 5.5737, 12.0059 Å; angles 103.42, 114.77, 90.00 degrees
Closest atoms and distances in Å follow each position.
Atoms (fractional coordinates):
Tb: 0.0000 0.9262 0.0000  6 Sc 3.36-3.54, 2 Pr 3.54
Tb: 0.5000 0.4262 0.0000  6 Sc 3.36-3.54, 2 Pr 3.54
Tb: 0.3128 0.6762 0.5000  10 Pr 3.48-3.69
Tb: 0.6872 0.1762 0.5000  10 Pr 3.48-3.69
Pr: 0.0259 0.3164 0.7805  2 Sc 3.27-3.29, 1 Tb 3.57, 3 Pr 3.59-3.61
Pr: 0.9741 0.5359 0.2195  2 Sc 3.27-3.29, 1 Tb 3.57, 3 Pr 3.59-3.61
Pr: 0.2546 0.8164 0.7805  2 Sc 3.27-3.29, 1 Tb 3.57, 3 Pr 3.59-3.61
Pr: 0.7454 0.0359 0.2195  2 Sc 3.27-3.29, 1 Tb 3.57, 3 Pr 3.59-3.61
Pr: 0.2840 0.0826 0.3127  1 Sc 3.16, 3 Tb 3.48-3.54, 1 Pr 3.51
Pr: 0.7160 0.7699 0.6873  1 Sc 3.16, 3 Tb 3.48-3.54, 1 Pr 3.51
Pr: 0.5288 0.5826 0.3127  1 Sc 3.16, 3 Tb 3.48-3.54, 1 Pr 3.51
Pr: 0.4712 0.2699 0.6873  1 Sc 3.16, 3 Tb 3.48-3.54, 1 Pr 3.51
Pr: 0.0887 0.1762 0.5000  6 Pr 3.31-3.59, 2 Tb 3.58
Pr: 0.9113 0.6762 0.5000  6 Pr 3.31-3.59, 2 Tb 3.58
Sc: 0.2065 0.4713 0.0901  3 Pr 3.16-3.29, 2 Sc 3.31, 3 Tb 3.36-3.54
Sc: 0.7935 0.3812 0.9099  3 Pr 3.16-3.29, 2 Sc 3.31, 3 Tb 3.36-3.54
Sc: 0.3836 0.9713 0.0901  3 Pr 3.16-3.29, 2 Sc 3.31, 3 Tb 3.36-3.54
Sc: 0.6164 0.8812 0.9099  3 Pr 3.16-3.29, 2 Sc 3.31, 3 Tb 3.36-3.54



UPaBiC after structural relaxation. Source: Alexandria via LeMat-Bulk, functional PBE.

Summary:
DOS(E_F)   7.221 states/eV per cell
Total DFT energy (no corrections)   -8.576 eV per atom

Cell lengths 3.3381, 3.3381, 9.3656 Å; angles 79.73, 79.73, 60.00 degrees
Closest atoms and distances in Å follow each position.
Atoms (fractional coordinates):
U: 0.4313 0.4313 0.7060  3 C 2.41
Pa: 0.9911 0.9911 0.0267  3 C 2.44
Bi: 0.8699 0.8699 0.3904  1 Pa 3.33, 6 Bi 3.34, 3 U 3.48
C: 0.7120 0.7120 0.8641  3 U 2.41, 3 Pa 2.44



- Which formula does entry 1 have?
  HfMn2S



- Which value of DOS(E_F) does entry 3 give?
  1.673 states/eV per cell